ZrOsBr3 after structural relaxation, computed with PBE.

## Properties
uncorrected formation energy: 0.69 eV/atom

Unit cell a=5.3366 b=5.3366 c=5.3366 alpha=90.00 beta=90.00 gamma=90.00
Site moments in Bohr magnetons follow the coordinates.
Element x y z (fractional)
Br 0.5000 0.0000 0.0000  0.04
Br 0.0000 0.5000 0.0000  0.06
Br 0.0000 0.0000 0.5000  0.04
Zr 0.0000 0.0000 0.0000  -0.36
Os 0.5000 0.5000 0.5000  3.25

---

CdHgH after structural relaxation, computed with PBE.

Unit cell a=3.8729 b=3.9393 c=10.5832 alpha=100.86 beta=100.54 gamma=90.00
Element x y z (fractional)
Cd 0.2053 0.2073 0.4106
Cd 0.7947 0.7927 0.5894
H 0.4815 0.9754 0.9630
H 0.5185 0.0246 0.0370
Hg 0.3645 0.3629 0.7289
Hg 0.6355 0.6371 0.2711

---

| no. | density of states at the Fermi level (states/eV/cell) | uncorrected energy (eV for the cell shown) | magnetization (Bohr magnetons per cell) |
| --- | --- | --- | --- |
| 1 | 7.58 | -21.3 | 3.6 |
| 2 | 0.61 | -8.6 | 0.0 |